--- P ---
## Pu2BiRh2 (GGA-PBE)

Data for a relaxed structure of Pu2BiRh2.

Properties
D(E_F): 2.50 states/eV per atom
Spin magnetization: 9.49 μB per formula unit

```
data_Pu2BiRh2
_symmetry_space_group_name_H-M 'C 1 2/m 1'
_symmetry_Int_Tables_number 12
_symmetry_space_group_name_Hall '-C 2y'
_cell_length_a 8.266
_cell_length_b 4.756
_cell_length_c 5.916
_cell_angle_alpha 90.00
_cell_angle_beta 117.70
_cell_angle_gamma 90.00
loop_
_atom_site_label
_atom_site_fract_x
_atom_site_fract_y
_atom_site_fract_z
Pu1 0.210 0.000 0.130
Bi1 0.000 0.000 0.500
Rh1 0.090 0.500 0.269
```



--- Q ---
## Pu2BiRh2 (GGA-PBE)

Data for a relaxed structure of Pu2BiRh2.

Properties
D(E_F): 3.35 states/eV per atom
Spin magnetization: 9.68 μB per formula unit

```
data_Pu2BiRh2
_symmetry_space_group_name_H-M 'P 4/m b m'
_symmetry_Int_Tables_number 127
_symmetry_space_group_name_Hall '-P 4 2ab'
_cell_length_a 7.623
_cell_length_b 7.623
_cell_length_c 3.758
_cell_angle_alpha 90.00
_cell_angle_beta 90.00
_cell_angle_gamma 90.00
loop_
_atom_site_label
_atom_site_fract_x
_atom_site_fract_y
_atom_site_fract_z
Pu1 0.172 0.328 0.000
Bi1 0.000 0.000 0.500
Rh1 0.131 0.631 0.500
```



Q takes first place; second place is 10.2 kJ/mol of atoms up.